No. 1
! GGA-PBE SrCa2ScCo, relaxed; values from VASP
! space-group type: No. 123
! crystal system: tetragonal
! DFT formation energy: 0.443 eV/f.u.
&SYSTEM
  ibrav = 0, nat = 5, ntyp = 4
/
ATOMIC_SPECIES
Sc 44.96 Sc.upf
Sr 87.62 Sr.upf
Ca 40.08 Ca.upf
Co 58.93 Co.upf
ATOMIC_POSITIONS crystal
Sc 0.000 0.000 0.500
Sr 0.500 0.500 0.500
Ca 0.000 0.500 0.000
Ca 0.500 0.000 0.000
Co 0.000 0.000 0.000
CELL_PARAMETERS angstrom
5.638 0.000 0.000
0.000 5.638 0.000
0.000 0.000 4.949

***

No. 2
! GGA-PBE Si2OsPt, relaxed; values from VASP
! space-group type: No. 25
! crystal system: orthorhombic
! formation energy without anion corrections: -0.3823 eV/atom
&SYSTEM
  ibrav = 0, nat = 4, ntyp = 3
/
ATOMIC_SPECIES
Os 190.23 Os.upf
Pt 195.08 Pt.upf
Si 28.09 Si.upf
ATOMIC_POSITIONS crystal
Os 0.000 0.000 0.439
Pt 0.500 0.500 0.808
Si 0.000 0.000 0.973
Si 0.500 0.500 0.280
CELL_PARAMETERS angstrom
-0.368 0.894 2.926
2.909 -1.771 0.907
2.878 4.247 -0.935

***

No. 3
! GGA-PBE CoSiAg2, relaxed; values from VASP
! space-group type: No. 65
! crystal system: orthorhombic
! formation energy without anion corrections: 0.4425 eV/atom
&SYSTEM
  ibrav = 0, nat = 4, ntyp = 3
/
ATOMIC_SPECIES
Ag 107.87 Ag.upf
Co 58.93 Co.upf
Si 28.09 Si.upf
ATOMIC_POSITIONS crystal
Ag 0.000 0.000 0.006
Ag 0.000 0.000 0.494
Co 0.500 0.500 0.250
Si 0.500 0.500 0.750
CELL_PARAMETERS angstrom
-0.783 1.819 -1.926
-1.337 -0.034 2.417
6.100 6.291 3.461

***

No. 4
! GGA-PBE Mg4HIr5, relaxed; values from VASP
! energy above the lowest structure with this stoichiometry: 0.0170 eV/atom
! space-group type: No. 8
! crystal system: monoclinic
&SYSTEM
  ibrav = 0, nat = 10, ntyp = 3
/
ATOMIC_SPECIES
Mg 24.30 Mg.upf
H 1.01 H.upf
Ir 192.22 Ir.upf
ATOMIC_POSITIONS crystal
Mg 0.513 0.113 0.471
Mg 0.977 0.774 0.113
Mg 0.618 0.774 0.829
Mg 0.066 0.436 0.471
H 0.003 0.944 0.471
Ir 0.186 0.117 0.134
Ir 0.730 0.441 0.146
Ir 0.311 0.761 0.471
Ir 0.404 0.441 0.797
Ir 0.848 0.117 0.809
CELL_PARAMETERS angstrom
1.371 0.832 4.503
-2.479 -5.802 3.297
4.358 -1.579 1.502

***

No. 5
! GGA-PBE AlFe2Ru, relaxed; values from VASP
! space-group type: No. 160
! crystal system: trigonal
! DFT formation energy: -0.048 eV/f.u.
&SYSTEM
  ibrav = 0, nat = 4, ntyp = 3
/
ATOMIC_SPECIES
Ru 101.07 Ru.upf
Fe 55.84 Fe.upf
Al 26.98 Al.upf
ATOMIC_POSITIONS crystal
Ru 0.501 0.501 0.501
Fe 0.000 0.000 0.000
Fe 0.251 0.251 0.251
Al 0.748 0.748 0.748
CELL_PARAMETERS angstrom
8.475 0.012 0.007
8.048 2.658 0.007
8.048 1.300 2.318

***

No. 6
! GGA-PBE Pm2ZnAg2, relaxed; values from VASP
! space-group type: No. 12
! crystal system: monoclinic
! DFT formation energy: -1.337 eV/f.u.
&SYSTEM
  ibrav = 0, nat = 10, ntyp = 3
/
ATOMIC_SPECIES
Pm 145.00 Pm.upf
Zn 65.41 Zn.upf
Ag 107.87 Ag.upf
ATOMIC_POSITIONS crystal
Pm 0.674 0.312 0.340
Pm 0.922 0.269 0.888
Pm 0.326 0.688 0.660
Pm 0.078 0.731 0.112
Zn 0.618 0.101 0.663
Zn 0.382 0.899 0.337
Ag 0.086 0.265 0.563
Ag 0.638 0.841 0.883
Ag 0.914 0.735 0.437
Ag 0.362 0.159 0.117
CELL_PARAMETERS angstrom
4.482 0.000 0.000
2.241 5.310 -0.454
2.241 0.094 10.192

***

No. 7
! GGA-PBE Nd2CoRu3, relaxed; values from VASP
! space-group type: No. 166
! crystal system: trigonal
! DFT formation energy: -0.768 eV/f.u.
&SYSTEM
  ibrav = 0, nat = 6, ntyp = 3
/
ATOMIC_SPECIES
Nd 144.24 Nd.upf
Co 58.93 Co.upf
Ru 101.07 Ru.upf
ATOMIC_POSITIONS crystal
Nd 0.752 0.376 0.128
Nd 0.248 0.624 0.872
Co 0.000 0.000 0.000
Ru 0.500 0.500 0.500
Ru 0.000 0.000 0.500
Ru 0.500 0.000 0.500
CELL_PARAMETERS angstrom
4.736 -0.141 -2.490
-3.010 4.420 -0.228
-0.203 0.143 5.373

***

No. 8
! GGA-PBE BeMoP2Cl, relaxed; values from VASP
! energy above the lowest structure with this stoichiometry: 0.0265 eV/atom
! space-group type: No. 123
! crystal system: tetragonal
! formation energy without anion corrections: 0.7539 eV/atom
&SYSTEM
  ibrav = 0, nat = 5, ntyp = 4
/
ATOMIC_SPECIES
P 30.97 P.upf
Mo 95.94 Mo.upf
Be 9.01 Be.upf
Cl 35.45 Cl.upf
ATOMIC_POSITIONS crystal
P 0.000 0.500 0.000
P 0.500 0.000 0.000
Mo 0.500 0.500 0.500
Be 0.000 0.000 0.000
Cl 0.000 0.000 0.500
CELL_PARAMETERS angstrom
4.220 0.000 0.000
0.000 4.220 0.000
0.000 0.000 4.596

***

No. 9
! GGA-PBE Pm2Zn7Rh, relaxed; values from VASP
! energy above the lowest structure with this stoichiometry: 0.0000 eV/atom
! space-group type: No. 115
! crystal system: tetragonal
! DFT formation energy: -3.463 eV/f.u.
&SYSTEM
  ibrav = 0, nat = 10, ntyp = 3
/
ATOMIC_SPECIES
Pm 145.00 Pm.upf
Zn 65.41 Zn.upf
Rh 102.91 Rh.upf
ATOMIC_POSITIONS crystal
Pm 0.500 0.000 0.758
Pm 0.000 0.500 0.242
Zn 0.000 0.500 0.865
Zn 0.500 0.000 0.361
Zn 0.500 0.000 0.135
Zn 0.000 0.500 0.639
Zn 0.000 0.000 0.500
Zn 0.000 0.000 0.000
Zn 0.500 0.500 0.500
Rh 0.500 0.500 0.000
CELL_PARAMETERS angstrom
4.114 0.000 0.000
0.000 4.114 0.000
0.000 0.000 11.064

***

No. 10
! GGA-PBE TbSmHgPb, relaxed; values from VASP
! space-group type: No. 216
! crystal system: cubic
! DFT formation energy: -1.909 eV/f.u.
&SYSTEM
  ibrav = 0, nat = 4, ntyp = 4
/
ATOMIC_SPECIES
Pb 207.20 Pb.upf
Tb 158.93 Tb.upf
Hg 200.59 Hg.upf
Sm 150.36 Sm.upf
ATOMIC_POSITIONS crystal
Pb 0.250 0.250 0.250
Tb 0.000 0.000 0.000
Hg 0.750 0.750 0.750
Sm 0.500 0.500 0.500
CELL_PARAMETERS angstrom
-4.338 0.510 -3.172
-4.548 -2.649 1.200
-4.322 2.716 1.754

***

No. 11
! GGA-PBE CaGdCuPb, relaxed; values from VASP
! space-group type: No. 216
! crystal system: cubic
! DFT formation energy: -1.330 eV/f.u.
&SYSTEM
  ibrav = 0, nat = 4, ntyp = 4
/
ATOMIC_SPECIES
Pb 207.20 Pb.upf
Ca 40.08 Ca.upf
Gd 157.25 Gd.upf
Cu 63.55 Cu.upf
ATOMIC_POSITIONS crystal
Pb 0.250 0.250 0.250
Ca 0.000 0.000 0.000
Gd 0.500 0.500 0.500
Cu 0.750 0.750 0.750
CELL_PARAMETERS angstrom
-2.002 -1.194 4.743
-4.648 -2.490 0.356
-0.185 -5.033 1.599

***

No. 12
! GGA-PBE Nd2Al5AgPd2, relaxed; values from VASP
! space-group type: No. 127
! crystal system: tetragonal
! DFT formation energy: -5.658 eV/f.u.
&SYSTEM
  ibrav = 0, nat = 20, ntyp = 4
/
ATOMIC_SPECIES
Nd 144.24 Nd.upf
Al 26.98 Al.upf
Ag 107.87 Ag.upf
Pd 106.42 Pd.upf
ATOMIC_POSITIONS crystal
Nd 0.000 0.687 0.187
Nd 0.000 0.313 0.813
Nd 0.000 0.187 0.313
Nd 0.000 0.813 0.687
Al 0.500 0.205 0.050
Al 0.500 0.795 0.950
Al 0.500 0.050 0.795
Al 0.500 0.705 0.450
Al 0.500 0.950 0.205
Al 0.500 0.295 0.550
Al 0.500 0.550 0.705
Al 0.500 0.450 0.295
Al 0.500 0.500 0.000
Al 0.500 0.000 0.500
Ag 0.000 0.000 0.000
Ag 0.000 0.500 0.500
Pd 0.000 0.110 0.610
Pd 0.000 0.890 0.390
Pd 0.000 0.610 0.890
Pd 0.000 0.390 0.110
CELL_PARAMETERS angstrom
4.027 0.000 0.000
0.000 9.920 0.000
0.000 0.000 9.920